FeAs | PBE-GGA | optimized geometry

```
FeAs
1.0
-0.089 -0.150 5.234
4.356 -0.224 2.898
-2.703 2.598 -3.656
As Fe
2 2
direct
0.359 0.609 0.250 As
0.641 0.391 0.750 As
0.873 0.123 0.250 Fe
0.127 0.877 0.750 Fe
```

Output
As for the electronic total energy: -25.45 eV/cell. The space group is Imma.



NbGaBrCl2 | PBE-GGA | optimized geometry

```
NbGaBrCl2
1.0
5.080 0.000 0.000
0.000 5.494 0.000
0.000 0.000 5.080
Cl Nb Br Ga
2 1 1 1
direct
0.500 0.000 0.000 Cl
0.000 0.000 0.500 Cl
0.000 0.000 0.000 Nb
0.000 0.500 0.000 Br
0.500 0.500 0.500 Ga
```

Output
The space group is P4/mmm. The calculation puts the raw formation energy at -2.37 eV/f.u.



PuMgCoTc | PBE-GGA | optimized geometry

```
PuMgCoTc
1.0
4.529 0.000 0.000
2.265 3.923 0.000
2.265 1.308 3.698
Pu Co Mg Tc
1 1 1 1
direct
0.250 0.250 0.250 Pu
0.500 0.500 0.500 Co
0.750 0.750 0.750 Mg
0.000 0.000 0.000 Tc
```

Output
As for the electronic total energy: -33.16 eV/cell. The space group is F-43m.



PrBiO3 | PBE-GGA | optimized geometry

```
PrBiO3
1.0
6.902 0.000 -0.308
0.000 6.592 0.000
-0.501 0.000 7.688
O Bi Pr
12 4 4
direct
0.992 0.580 0.176 O
0.457 0.844 0.361 O
0.543 0.156 0.639 O
0.797 0.901 0.970 O
0.008 0.420 0.824 O
0.008 0.080 0.324 O
0.457 0.656 0.861 O
0.203 0.401 0.530 O
0.203 0.099 0.030 O
0.797 0.599 0.470 O
0.543 0.344 0.139 O
0.992 0.920 0.676 O
0.903 0.278 0.566 Bi
0.097 0.722 0.434 Bi
0.097 0.778 0.934 Bi
0.903 0.222 0.066 Bi
0.641 0.679 0.164 Pr
0.359 0.321 0.836 Pr
0.641 0.821 0.664 Pr
0.359 0.179 0.336 Pr
```

Output
The space group is P2_1/c. The calculation puts the raw formation energy at -10.98 eV/f.u.



K3ZrU3Se8 | PBE-GGA | optimized geometry

```
K3ZrU3Se8
1.0
-4.346 -0.098 -6.988
7.870 -2.408 0.031
-6.068 -5.788 3.834
Se U K Zr
8 3 3 1
direct
0.227 0.972 0.700 Se
0.773 0.028 0.300 Se
0.263 0.526 0.289 Se
0.228 0.456 0.700 Se
0.737 0.474 0.711 Se
0.255 0.028 0.300 Se
0.745 0.972 0.700 Se
0.772 0.544 0.300 Se
0.000 0.500 0.500 U
0.500 0.000 0.500 U
0.500 0.500 0.500 U
0.000 0.500 0.000 K
0.500 0.500 0.000 K
0.000 0.000 0.000 K
0.000 0.000 0.500 Zr
```

Output
The space group is C2/m. The calculation puts the raw formation energy at -18.78 eV/f.u.



CrCu3W | PBE-GGA | optimized geometry

```
CrCu3W
1.0
4.268 0.000 0.000
0.000 4.268 0.000
0.000 0.000 4.268
Cu Cr W
3 1 1
direct
0.000 0.500 0.000 Cu
0.000 0.000 0.500 Cu
0.500 0.000 0.000 Cu
0.000 0.000 0.000 Cr
0.500 0.500 0.500 W
```

Output
The space group is Pm-3m. As for the offset from the most stable computed form: 0 meV per atom.



Pa2Si6TcOs | PBE-GGA | optimized geometry

```
Pa2Si6TcOs
1.0
5.824 0.000 0.000
2.912 5.043 0.000
2.912 1.681 12.411
Si Pa Tc Os
12 4 2 2
direct
0.661 0.065 0.614 Si
0.065 0.661 0.614 Si
0.935 0.339 0.386 Si
0.339 0.339 0.386 Si
0.807 0.226 0.159 Si
0.661 0.661 0.614 Si
0.774 0.193 0.841 Si
0.193 0.774 0.841 Si
0.339 0.935 0.386 Si
0.226 0.807 0.159 Si
0.807 0.807 0.159 Si
0.193 0.193 0.841 Si
0.280 0.280 0.159 Pa
0.874 0.874 0.379 Pa
0.720 0.720 0.841 Pa
0.126 0.126 0.621 Pa
0.000 0.000 0.000 Tc
0.500 0.500 0.500 Tc
0.423 0.423 0.731 Os
0.577 0.577 0.269 Os
```

Output
The space group is R-3m. The calculation puts the raw formation energy at -2.99 eV/f.u.



Th2Se2S | PBE-GGA | optimized geometry

```
Th2Se2S
1.0
-0.352 -2.919 2.779
5.836 -0.633 0.073
-2.340 6.011 3.074
Th Se S
2 2 1
direct
0.342 0.842 0.683 Th
0.658 0.158 0.317 Th
0.338 0.338 0.676 Se
0.662 0.662 0.324 Se
0.000 0.000 0.000 S
```

Output
The space group is Immm. The calculation puts the raw formation energy at -8.57 eV/f.u. As for the offset from the most stable computed form: 0 meV per atom.



Q: Number 7 is which compound?
A: Pa2Si6TcOs